No. 1
Here is KAsP3 after structural relaxation from Alexandria via LeMat-Bulk. Energies are from PBEsol.

Cell lengths 4.9985, 4.9985, 4.9985 Å; angles 90.00, 90.00, 90.00 degrees
Space group Pm-3m (No. 221)
One atom of each set of equivalent atoms:
K (0.0000, 0.0000, 0.0000) x1
As (0.5000, 0.5000, 0.5000) x1
P (0.0000, 0.0000, 0.5000) x3

For the calculated volume, the calculation gives 124.9 Å³/cell. The total energy is -2.51 eV per atom.

***

No. 2
Here is RbCd2Ni2 after structural relaxation from Alexandria via LeMat-Bulk. Energies are from PBEsol.

Cell lengths 4.4140, 4.4140, 11.2271 Å; angles 90.00, 90.00, 90.00 degrees
Space group I4/mmm (No. 139)
One atom of each set of equivalent atoms:
Rb (0.0000, 0.0000, 0.0000) x2
Cd (0.0000, 0.0000, 0.3652) x4
Ni (0.0000, 0.5000, 0.2500) x4

For the calculated volume, the calculation gives 218.7 Å³/cell. The total energy is -2.72 eV per atom.

***

No. 3
Here is Ho2AgRu after structural relaxation from Alexandria via LeMat-Bulk. Energies are from PBEsol.

Cell lengths 6.8525, 6.8525, 6.8525 Å; angles 90.00, 90.00, 90.00 degrees
Space group Fm-3m (No. 225)
One atom of each set of equivalent atoms:
Ho (0.2500, 0.2500, 0.2500) x8
Ag (0.0000, 0.0000, 0.0000) x4
Ru (0.0000, 0.0000, 0.5000) x4

For the calculated volume, the calculation gives 321.8 Å³/cell. The total energy is -6.20 eV per atom.

***

No. 4
Here is NbGaB3 after structural relaxation from Alexandria via LeMat-Bulk. Energies are from PBEsol.

Cell lengths 3.9210, 3.9210, 3.9210 Å; angles 90.00, 90.00, 90.00 degrees
Space group Pm-3m (No. 221)
One atom of each set of equivalent atoms:
Nb (0.0000, 0.0000, 0.0000) x1
Ga (0.5000, 0.5000, 0.5000) x1
B (0.0000, 0.5000, 0.5000) x3

For the calculated volume, the calculation gives 60.3 Å³/cell. The total energy is -5.37 eV per atom.

***

No. 5
Here is BeNi2Sb after structural relaxation from Alexandria via LeMat-Bulk. Energies are from PBEsol.

Cell lengths 3.7619, 3.7619, 3.4691 Å; angles 90.00, 90.00, 90.00 degrees
Space group P4/mmm (No. 123)
One atom of each set of equivalent atoms:
Be (0.0000, 0.0000, 0.0000) x1
Ni (0.0000, 0.5000, 0.5000) x2
Sb (0.5000, 0.5000, 0.0000) x1

For the calculated volume, the calculation gives 49.1 Å³/cell. As for the raw formation energy: -85 meV per atom. The total energy is -5.30 eV per atom.

***

No. 6
Here is AgSb2TePt after structural relaxation from Alexandria via LeMat-Bulk. Energies are from PBEsol.

Cell lengths 5.1308, 5.1308, 5.4357 Å; angles 90.00, 90.00, 90.00 degrees
Space group P4/mmm (No. 123)
One atom of each set of equivalent atoms:
Ag (0.0000, 0.0000, 0.0000) x1
Sb (0.0000, 0.5000, 0.5000) x2
Te (0.5000, 0.5000, 0.0000) x1
Pt (0.5000, 0.5000, 0.5000) x1

For the calculated volume, the calculation gives 143.1 Å³/cell. As for the raw formation energy: 551 meV per atom. The total energy is -4.03 eV per atom.

***

No. 7
Here is Li2Ca after structural relaxation from Alexandria via LeMat-Bulk. Energies are from PBEsol.

Cell lengths 6.5669, 5.3456, 9.4620 Å; angles 90.00, 90.00, 90.00 degrees
Space group Pnma (No. 62)
One atom of each set of equivalent atoms:
Li (0.0282, 0.2500, 0.2290) x4
Li (0.1614, 0.2500, 0.9279) x4
Ca (0.1727, 0.2500, 0.5886) x4

For the calculated volume, the calculation gives 332.2 Å³/cell. The total energy is -1.97 eV per atom.

***

No. 8
Here is Cd3In5 after structural relaxation from Alexandria via LeMat-Bulk. Energies are from PBEsol.

Cell lengths 9.0048, 9.0868, 4.6182 Å; angles 90.00, 90.00, 90.00 degrees
Space group Cmmm (No. 65)
One atom of each set of equivalent atoms:
Cd (0.0000, 0.0000, 0.0000) x2
Cd (0.0000, 0.2482, 0.5000) x4
In (0.0000, 0.5000, 0.0000) x2
In (0.2452, 0.0000, 0.5000) x4
In (0.2500, 0.2500, 0.0000) x4

For the calculated volume, the calculation gives 377.9 Å³/cell. The total energy is -2.28 eV per atom.

***

No. 9
Here is Sr2MgAg after structural relaxation from Alexandria via LeMat-Bulk. Energies are from PBEsol.

Cell lengths 7.5190, 4.3080, 9.4325 Å; angles 90.00, 105.10, 90.00 degrees
Space group C2/m (No. 12)
One atom of each set of equivalent atoms:
Sr (0.2364, 0.0000, 0.2094) x4
Mg (0.0000, 0.0000, 0.5000) x2
Ag (0.0000, 0.5000, 0.0000) x2

For the calculated volume, the calculation gives 295.0 Å³/cell. The total energy is -2.16 eV per atom.

***

No. 10
Here is FeOsPt2 after structural relaxation from Alexandria via LeMat-Bulk. Energies are from PBEsol.

Cell lengths 2.6943, 2.6943, 7.6552 Å; angles 90.00, 90.00, 90.00 degrees
Space group P4/mmm (No. 123)
One atom of each set of equivalent atoms:
Fe (0.0000, 0.0000, 0.0000) x1
Os (0.0000, 0.0000, 0.5000) x1
Pt (0.5000, 0.5000, 0.2434) x2

For the calculated volume, the calculation gives 55.6 Å³/cell. The total energy is -8.73 eV per atom.

***

No. 11
Here is SrInFe2 after structural relaxation from Alexandria via LeMat-Bulk. Energies are from PBEsol.

Cell lengths 3.1950, 3.1950, 7.5405 Å; angles 90.00, 90.00, 90.00 degrees
Space group P4mm (No. 99)
One atom of each set of equivalent atoms:
Sr (0.0000, 0.0000, 0.0000) x1
In (0.5000, 0.5000, 0.6559) x1
Fe (0.0000, 0.0000, 0.4236) x1
Fe (0.5000, 0.5000, 0.3010) x1

For the calculated volume, the calculation gives 77.0 Å³/cell. The total energy is -5.44 eV per atom.

***

No. 12
Here is Cd2HgBr after structural relaxation from Alexandria via LeMat-Bulk. Energies are from PBEsol.

Cell lengths 3.6171, 4.7341, 5.7661 Å; angles 90.00, 90.00, 90.00 degrees
Space group Pmmm (No. 47)
One atom of each set of equivalent atoms:
Cd (0.0000, 0.0000, 0.0000) x1
Cd (0.5000, 0.0000, 0.5000) x1
Hg (0.0000, 0.5000, 0.5000) x1
Br (0.5000, 0.5000, 0.0000) x1

For the calculated volume, the calculation gives 98.7 Å³/cell. As for the raw formation energy: -57 meV per atom. The total energy is -1.26 eV per atom.

***

No. 13
Here is CrBO3 after structural relaxation from Alexandria via LeMat-Bulk. Energies are from PBEsol.

Cell lengths 4.5716, 4.5716, 14.1506 Å; angles 90.00, 90.00, 120.00 degrees
Space group R-3c (No. 167, hexagonal axes)
One atom of each set of equivalent atoms:
Cr (0.0000, 0.0000, 0.0000) x6
B (0.0000, 0.0000, 0.2500) x6
O (0.0000, 0.3023, 0.2500) x18

For the calculated volume, the calculation gives 256.1 Å³/cell. As for the raw formation energy: -2168 meV per atom. The total energy is -8.77 eV per atom.

***

No. 14
Here is Nb2CoCF after structural relaxation from Alexandria via LeMat-Bulk. Energies are from PBEsol.

Cell lengths 4.2177, 4.2177, 3.5009 Å; angles 90.00, 90.00, 90.00 degrees
Space group P4/mmm (No. 123)
One atom of each set of equivalent atoms:
Nb (0.0000, 0.5000, 0.0000) x2
Co (0.0000, 0.0000, 0.5000) x1
C (0.5000, 0.5000, 0.5000) x1
F (0.0000, 0.0000, 0.0000) x1

For the calculated volume, the calculation gives 62.3 Å³/cell. As for the raw formation energy: 944 meV per atom. The total energy is -7.25 eV per atom.

***

No. 15
Here is ZrCd4Pt after structural relaxation from Alexandria via LeMat-Bulk. Energies are from PBEsol.

Cell lengths 7.7356, 7.7356, 7.7356 Å; angles 90.00, 90.00, 90.00 degrees
Space group F-43m (No. 216)
One atom of each set of equivalent atoms:
Zr (0.0000, 0.0000, 0.0000) x4
Cd (0.1249, 0.1249, 0.6249) x16
Pt (0.2500, 0.2500, 0.2500) x4

For the calculated volume, the calculation gives 462.9 Å³/cell. The total energy is -3.38 eV per atom.

***

No. 16
Here is Cs3AsF6 after structural relaxation from Alexandria via LeMat-Bulk. Energies are from PBEsol.

Cell lengths 9.6185, 9.6185, 9.6185 Å; angles 90.00, 90.00, 90.00 degrees
Space group Fm-3m (No. 225)
One atom of each set of equivalent atoms:
Cs (0.0000, 0.0000, 0.0000) x4
Cs (0.2500, 0.2500, 0.2500) x8
As (0.0000, 0.0000, 0.5000) x4
F (0.0000, 0.0000, 0.2865) x24

For the calculated volume, the calculation gives 889.9 Å³/cell. As for the raw formation energy: -2522 meV per atom. The total energy is -4.47 eV per atom.

***

No. 17
Here is Cs2IrF6 after structural relaxation from Alexandria via LeMat-Bulk. Energies are from PBEsol.

Cell lengths 6.1698, 6.1698, 4.9813 Å; angles 90.00, 90.00, 120.00 degrees
Space group P-3m1 (No. 164)
One atom of each set of equivalent atoms:
Cs (0.3333, 0.6667, 0.2924) x2
Ir (0.0000, 0.0000, 0.0000) x1
F (0.1529, 0.3059, 0.7844) x6

For the calculated volume, the calculation gives 164.2 Å³/cell. As for the raw formation energy: -2200 meV per atom. The total energy is -4.79 eV per atom.

***

No. 18
Here is Sc2BeNi after structural relaxation from Alexandria via LeMat-Bulk. Energies are from PBEsol.

Cell lengths 3.3313, 3.9878, 5.0475 Å; angles 90.00, 106.71, 90.00 degrees
Space group Pm (No. 6)
One atom of each set of equivalent atoms:
Sc (0.0000, 0.0000, 0.0000) x1
Sc (0.2661, 0.5000, 0.5694) x1
Be (0.5749, 0.5000, 0.1524) x1
Ni (0.6888, 0.0000, 0.4066) x1

For the calculated volume, the calculation gives 64.2 Å³/cell. The total energy is -6.10 eV per atom.

***

No. 19
Here is LiYSbI2 after structural relaxation from Alexandria via LeMat-Bulk. Energies are from PBEsol.

Cell lengths 5.0683, 5.0683, 5.5290 Å; angles 90.00, 90.00, 90.00 degrees
Space group P4/mmm (No. 123)
One atom of each set of equivalent atoms:
Li (0.0000, 0.0000, 0.0000) x1
Y (0.5000, 0.5000, 0.5000) x1
Sb (0.0000, 0.0000, 0.5000) x1
I (0.0000, 0.5000, 0.0000) x2

For the calculated volume, the calculation gives 142.0 Å³/cell. As for the raw formation energy: -341 meV per atom. The total energy is -3.72 eV per atom.

***

No. 20
Here is CrCdN3 after structural relaxation from Alexandria via LeMat-Bulk. Energies are from PBEsol.

Cell lengths 3.7425, 3.7425, 3.7425 Å; angles 90.00, 90.00, 90.00 degrees
Space group Pm-3m (No. 221)
One atom of each set of equivalent atoms:
Cr (0.0000, 0.0000, 0.0000) x1
Cd (0.5000, 0.5000, 0.5000) x1
N (0.0000, 0.0000, 0.5000) x3

For the calculated volume, the calculation gives 52.4 Å³/cell. As for the raw formation energy: 606 meV per atom. The total energy is -6.80 eV per atom.